Entry 1:
The following is a PBE calculation of an optimized crystal structure of AcTmCdPt, from the Alexandria database.

Space-group type: No. 216
Formation enthalpy at 0 K: -0.589 eV per atom
Calculated total energy: -17.9 eV/cell

a = 5.309 Å, b = 5.309 Å, c = 5.309 Å
α = 60.00°, β = 60.00°, γ = 60.00°
Fractional coordinates of all 4 atoms:
Ac1 0.500 0.500 0.500
Tm1 0.000 0.000 0.000
Pt1 0.750 0.750 0.750
Cd1 0.250 0.250 0.250


Entry 2:
The following is a PBE calculation of an optimized crystal structure of SnGeAu2, from the Alexandria database.

Space-group type: No. 123
Formation enthalpy at 0 K: 0.057 eV per atom
Calculated total energy: -14.9 eV/cell

a = 3.984 Å, b = 4.533 Å, c = 4.533 Å
α = 90.00°, β = 90.00°, γ = 90.00°
Fractional coordinates of all 4 atoms:
Ge1 0.500 0.500 0.500
Au1 0.000 0.000 0.500
Au2 0.000 0.500 0.000
Sn1 0.500 0.000 0.000


Entry 3:
The following is a PBE calculation of an optimized crystal structure of NaTlZnHg2, from the Alexandria database.

Space-group type: No. 123
Formation enthalpy at 0 K: 0.041 eV per atom
Calculated total energy: -5.4 eV/cell

a = 5.327 Å, b = 5.327 Å, c = 5.322 Å
α = 90.00°, β = 90.00°, γ = 90.00°
Fractional coordinates of all 5 atoms:
Zn1 0.000 0.000 0.000
Tl1 0.000 0.000 0.500
Hg1 0.000 0.500 0.000
Hg2 0.500 0.000 0.000
Na1 0.500 0.500 0.500


Entry 4:
The following is a PBE calculation of an optimized crystal structure of Cs2PtNCl, from the Alexandria database.

E_form (uncorrected): -774 meV/atom
Space-group type: No. 123
Calculated total energy: -21.8 eV/cell

a = 6.499 Å, b = 6.499 Å, c = 3.748 Å
α = 90.00°, β = 90.00°, γ = 90.00°
Each line ends with the local moment (μB).
Fractional coordinates of all 5 atoms:
Cs1 0.000 0.500 0.000  0.00
Cs2 0.500 0.000 0.000  0.00
N1 0.000 0.000 0.000  0.12
Pt1 0.000 0.000 0.500  0.14
Cl1 0.500 0.500 0.500  0.00


Entry 5:
The following is a PBE calculation of an optimized crystal structure of TbPm3Tm3, from the Alexandria database.

Space-group type: No. 148
Formation enthalpy at 0 K: 0.169 eV per atom
Calculated total energy: -62.2 eV/cell

a = 6.179 Å, b = 6.179 Å, c = 14.764 Å
α = 77.92°, β = 77.92°, γ = 60.00°
Fractional coordinates of all 14 atoms:
Tb1 0.667 0.667 0.000
Tb2 0.333 0.333 0.000
Pm1 0.200 0.869 0.393
Pm2 0.538 0.200 0.393
Pm3 0.869 0.538 0.393
Pm4 0.131 0.462 0.607
Pm5 0.462 0.800 0.607
Pm6 0.800 0.131 0.607
Tm1 0.935 0.268 0.195
Tm2 0.602 0.935 0.195
Tm3 0.268 0.602 0.195
Tm4 0.732 0.398 0.805
Tm5 0.398 0.065 0.805
Tm6 0.065 0.732 0.805


Entry 6:
The following is a PBE calculation of an optimized crystal structure of Y3RhSeCl, from the Alexandria database.

E_form (uncorrected): -1272 meV/atom
Space-group type: No. 11
Calculated total energy: -79.4 eV/cell

a = 3.987 Å, b = 8.138 Å, c = 9.912 Å
α = 93.56°, β = 90.00°, γ = 90.00°
Fractional coordinates of all 12 atoms:
Y1 0.750 0.815 0.115
Y2 0.250 0.185 0.885
Y3 0.250 0.643 0.394
Y4 0.750 0.357 0.606
Y5 0.750 0.351 0.184
Y6 0.250 0.649 0.816
Rh1 0.250 0.566 0.107
Rh2 0.750 0.434 0.893
Se1 0.250 0.086 0.163
Se2 0.750 0.914 0.837
Cl1 0.250 0.134 0.593
Cl2 0.750 0.866 0.407